DFT (PBE) results for a relaxed Ac2HfMoN5 crystal.

a = 3.529 Å, b = 7.462 Å, c = 10.958 Å
α = 90.00°, β = 90.00°, γ = 103.68°
Positions (direct):
Ac 0.857 0.714 0.813
Ac 0.115 0.230 0.677
Ac 0.143 0.286 0.313
Ac 0.885 0.770 0.177
Hf 0.790 0.580 0.520
Hf 0.210 0.420 0.020
Mo 0.544 0.089 0.948
Mo 0.456 0.911 0.448
N 0.352 0.704 0.004
N 0.678 0.355 0.891
N 0.497 0.993 0.793
N 0.289 0.578 0.651
N 0.953 0.907 0.526
N 0.648 0.296 0.504
N 0.322 0.645 0.391
N 0.503 0.007 0.293
N 0.711 0.422 0.151
N 0.047 0.093 0.026

## Properties
The calculation puts the raw formation energy at -1.099 eV per atom. The calculation puts the volume at 280.4 Å³/cell. As for the symmetry: Cmc2_1, No. 36.